HoAlNiAg | PBE | optimized geometry

```
data_HoAlNiAg
_cell_length_a 6.583
_cell_length_b 6.583
_cell_length_c 6.583
_cell_angle_alpha 90.00
_cell_angle_beta 90.00
_cell_angle_gamma 90.00
_symmetry_space_group_name_H-M 'F -4 3 m'
_symmetry_Int_Tables_number 216
_symmetry_space_group_name_Hall 'F -4 2 3'
loop_
_atom_site_label
_atom_site_fract_x
_atom_site_fract_y
_atom_site_fract_z
Ho1 0.000 0.000 0.000
Al1 0.000 0.000 0.500
Ni1 0.250 0.250 0.250
Ag1 0.250 0.250 0.750
```

## Properties
Energy of formation = -0.327 eV/atom
Electronic total energy = -18.26 eV per formula unit

LaTaPt2 | PBE | optimized geometry

```
data_LaTaPt2
_cell_length_a 5.088
_cell_length_b 5.088
_cell_length_c 16.653
_cell_angle_alpha 90.00
_cell_angle_beta 90.00
_cell_angle_gamma 90.00
_symmetry_space_group_name_H-M 'I -4 2 d'
_symmetry_Int_Tables_number 122
_symmetry_space_group_name_Hall 'I -4 2bw'
loop_
_atom_site_label
_atom_site_fract_x
_atom_site_fract_y
_atom_site_fract_z
La1 0.000 0.000 0.000
Ta1 0.000 0.000 0.500
Pt1 0.100 0.250 0.625
```

## Properties
Energy of formation = -0.153 eV/atom
Polymorph energy (0 for the lowest one) = 0.6218 eV per atom
Electronic total energy = -29.48 eV per formula unit

CaDy3Ru2 | PBE | optimized geometry

```
data_CaDy3Ru2
_cell_length_a 3.437
_cell_length_b 3.437
_cell_length_c 12.759
_cell_angle_alpha 90.00
_cell_angle_beta 90.00
_cell_angle_gamma 90.00
_symmetry_space_group_name_H-M 'P 4/m m m'
_symmetry_Int_Tables_number 123
_symmetry_space_group_name_Hall '-P 4 2'
loop_
_atom_site_label
_atom_site_fract_x
_atom_site_fract_y
_atom_site_fract_z
Ca1 0.000 0.000 0.000
Dy1 0.500 0.500 0.239
Dy2 0.500 0.500 0.500
Ru1 0.000 0.000 0.360
```

## Properties
Energy of formation = -0.271 eV/atom
Polymorph energy (0 for the lowest one) = 0.0000 eV per atom
Electronic total energy = -35.98 eV per formula unit

Tl2CuRh | PBE | optimized geometry

```
data_Tl2CuRh
_cell_length_a 4.701
_cell_length_b 4.701
_cell_length_c 3.381
_cell_angle_alpha 90.00
_cell_angle_beta 90.00
_cell_angle_gamma 90.00
_symmetry_space_group_name_H-M 'P 4/m m m'
_symmetry_Int_Tables_number 123
_symmetry_space_group_name_Hall '-P 4 2'
loop_
_atom_site_label
_atom_site_fract_x
_atom_site_fract_y
_atom_site_fract_z
Tl1 0.000 0.500 0.000
Cu1 0.000 0.000 0.500
Rh1 0.500 0.500 0.500
```

## Properties
Energy of formation = 0.252 eV/atom
Polymorph energy (0 for the lowest one) = 0.0982 eV per atom
Electronic total energy = -15.17 eV per formula unit

BaHg3Au8 | PBE | optimized geometry

```
data_BaHg3Au8
_cell_length_a 5.6101
_cell_length_b 5.6101
_cell_length_c 9.8844
_cell_angle_alpha 90.00
_cell_angle_beta 90.00
_cell_angle_gamma 120.00
_symmetry_space_group_name_H-M 'P 3 m 1'
_symmetry_Int_Tables_number 156
_symmetry_space_group_name_Hall 'P 3 -2"'
loop_
_atom_site_label
_atom_site_fract_x
_atom_site_fract_y
_atom_site_fract_z
Ba1 0.0000 0.0000 0.0000
Hg1 0.0000 0.0000 0.3723
Hg2 0.6667 0.3333 0.4916
Hg3 0.6667 0.3333 0.8292
Au1 0.1649 0.3297 0.6797
Au2 0.3333 0.6667 0.4409
Au3 0.3333 0.6667 0.9339
Au4 0.5016 0.0032 0.2000
```

## Properties
Energy of formation = -0.161 eV/atom
Polymorph energy (0 for the lowest one) = 0.0112 eV per atom
Electronic total energy = -30.98 eV per formula unit

K2ZnPt | PBE | optimized geometry

```
data_K2ZnPt
_cell_length_a 3.291
_cell_length_b 3.291
_cell_length_c 10.169
_cell_angle_alpha 90.00
_cell_angle_beta 90.00
_cell_angle_gamma 90.00
_symmetry_space_group_name_H-M 'P 4/m m m'
_symmetry_Int_Tables_number 123
_symmetry_space_group_name_Hall '-P 4 2'
loop_
_atom_site_label
_atom_site_fract_x
_atom_site_fract_y
_atom_site_fract_z
K1 0.000 0.000 0.219
Zn1 0.500 0.500 0.500
Pt1 0.500 0.500 0.000
```

## Properties
Energy of formation = 0.245 eV/atom
Electronic total energy = -8.53 eV per formula unit

NiAg2Os | PBE | optimized geometry

```
data_NiAg2Os
_cell_length_a 2.765
_cell_length_b 4.650
_cell_length_c 9.595
_cell_angle_alpha 90.00
_cell_angle_beta 90.00
_cell_angle_gamma 90.00
_symmetry_space_group_name_H-M 'C m m m'
_symmetry_Int_Tables_number 65
_symmetry_space_group_name_Hall '-C 2 2'
loop_
_atom_site_label
_atom_site_fract_x
_atom_site_fract_y
_atom_site_fract_z
Ni1 0.000 0.000 0.000
Ag1 0.000 0.500 0.236
Os1 0.000 0.000 0.500
```

## Properties
Energy of formation = 0.572 eV/atom
Polymorph energy (0 for the lowest one) = 0.2575 eV per atom
Electronic total energy = -20.43 eV per formula unit

KRb3Tl2I6 | PBE | optimized geometry

```
data_KRb3Tl2I6
_cell_length_a 8.950
_cell_length_b 15.478
_cell_length_c 8.935
_cell_angle_alpha 90.00
_cell_angle_beta 109.46
_cell_angle_gamma 90.00
_symmetry_space_group_name_H-M 'C 1 2/m 1'
_symmetry_Int_Tables_number 12
_symmetry_space_group_name_Hall '-C 2y'
loop_
_atom_site_label
_atom_site_fract_x
_atom_site_fract_y
_atom_site_fract_z
K1 0.000 0.000 0.000
Rb1 0.000 0.168 0.500
Rb2 0.000 0.500 0.500
Tl1 0.000 0.334 0.000
I1 0.246 0.167 0.238
I2 0.246 0.500 0.239
```

## Properties
Formation energy (no corrections) = -14.58 eV per formula unit
Electronic total energy = -32.61 eV per formula unit